First-principles (PBE) data for a relaxed structure of Sc2Ag3Au, as listed in the Open Quantum Materials Database.

The structure in POSCAR format:
```
Sc2Ag3Au
1.0
3.545 0.000 0.000
0.000 3.545 0.000
0.000 0.000 8.915
Sc Ag Au
2 3 1
Cartesian
0.000 0.000 0.000 Sc
1.772 1.772 4.387 Sc
0.000 0.000 2.944 Ag
0.000 0.000 5.893 Ag
1.772 1.772 7.356 Ag
1.772 1.772 1.384 Au
```

Formation energy = -0.45 eV/atom
Theoretical density = 9.049 g cm⁻³
M_tot = 0.006 μB/cell